Entry 1:
SrTeAs2: optimized geometry, PBE.

```
4
Lattice="0.0000 3.7652 3.7652 3.7652 0.0000 3.7652 3.7652 3.7652 0.0000" Properties=species:S:1:pos:R:3 pbc="T T T"
Sr 0.0000 0.0000 0.0000
Te 1.8826 1.8826 1.8826
As 3.7652 3.7652 3.7652
As 5.6478 5.6478 5.6478
```

The density comes out at 5.68 Mg/m³. For the total moment, the calculation gives 0.00 Bohr magnetons per cell. The space-group type is F-43m (216). For the energy, the calculation gives -3.71 eV per atom. As for the formation energy without anion corrections: -0.18 eV per atom.

---

Entry 2:
SrTeAs2: optimized geometry, PBE.

```
4
Lattice="4.8761 0.0000 0.0000 0.0000 4.2845 0.0000 -1.5078 0.0000 5.7508" Properties=species:S:1:pos:R:3 pbc="T T T"
Sr 0.0000 0.0000 0.0000
Te 1.6841 0.0000 2.8754
As 0.5146 2.1423 4.5948
As 2.8536 2.1423 1.1561
```

The density comes out at 5.05 Mg/m³. For the total moment, the calculation gives 0.00 Bohr magnetons per cell. The space-group type is P2/m (10). For the energy, the calculation gives -4.06 eV per atom. As for the formation energy without anion corrections: -0.53 eV per atom.

---

Entry 3:
Sr2TeAs: optimized geometry, PBE.

```
4
Lattice="6.2711 -2.0790 0.0000 6.2711 2.0790 0.0000 -0.2100 0.0000 5.0922" Properties=species:S:1:pos:R:3 pbc="T T T"
Sr 0.0000 0.0000 0.0000
Sr 2.9867 0.0000 2.5535
Te 9.0039 0.0000 5.0864
As 6.1694 0.0000 2.5572
```

The density comes out at 4.72 Mg/m³. For the total moment, the calculation gives 0.01 Bohr magnetons per cell. As for the relative energy among the computed polymorphs: 91 meV/atom. The space-group type is Cm (8). For the energy, the calculation gives -3.92 eV per atom. As for the formation energy without anion corrections: -1.14 eV per atom.